NaP3Pd3 | PBE | optimized geometry

a b c (Å): 6.621 6.621 6.621
angles (deg): 90.00 90.00 90.00
Fractional coordinates of all 14 atoms:
P: 0.500 0.750 0.000
P: 0.500 0.250 0.000
P: 0.000 0.500 0.250
Pd: 0.500 0.000 0.750
P: 0.000 0.500 0.750
P: 0.750 0.000 0.500
Pd: 0.000 0.750 0.500
Pd: 0.750 0.500 0.000
Pd: 0.000 0.250 0.500
Pd: 0.500 0.000 0.250
Na: 0.000 0.000 0.000
P: 0.250 0.000 0.500
Pd: 0.250 0.500 0.000
Na: 0.500 0.500 0.500

Output
M_tot: 0.00 Bohr magnetons per cell

NaPmP2Pd2 | PBE | optimized geometry

a b c (Å): 4.074 4.074 8.468
angles (deg): 90.00 90.00 120.00
Fractional coordinates of all 6 atoms:
Pd: 0.667 0.333 0.255
Pm: 0.000 0.000 0.000
Pd: 0.333 0.667 0.745
Na: 0.000 0.000 0.500
P: 0.333 0.667 0.226
P: 0.667 0.333 0.774

Output
M_tot: 0.00 Bohr magnetons per cell

NaPrP2Pd5 | PBE | optimized geometry

a b c (Å): 4.233 4.233 8.490
angles (deg): 90.00 90.00 90.00
Fractional coordinates of all 9 atoms:
Pd: 0.500 0.000 0.270
Pr: 0.000 0.000 0.000
Pd: 0.500 0.500 0.500
P: 0.500 0.500 0.867
Na: 0.000 0.000 0.500
Pd: 0.000 0.500 0.270
Pd: 0.000 0.500 0.730
P: 0.500 0.500 0.133
Pd: 0.500 0.000 0.730

Output
M_tot: 0.00 Bohr magnetons per cell

NaPPd2Pt | PBE | optimized geometry

a b c (Å): 4.584 4.584 4.498
angles (deg): 90.00 90.00 90.00
Fractional coordinates of all 5 atoms:
Pd: 0.500 0.000 0.000
P: 0.000 0.000 0.000
Pt: 0.000 0.000 0.500
Na: 0.500 0.500 0.500
Pd: 0.000 0.500 0.000

Output
M_tot: 0.00 Bohr magnetons per cell

Na2P2PdPt | PBE | optimized geometry

a b c (Å): 6.017 6.164 7.622
angles (deg): 113.85 113.25 90.00
Fractional coordinates of all 12 atoms:
Na: 0.069 0.325 0.650
P: 0.835 0.093 0.186
Pd: 0.000 0.250 0.000
Na: 0.581 0.825 0.650
P: 0.649 0.407 0.814
P: 0.351 0.593 0.186
Pd: 0.000 0.750 0.000
Pt: 0.500 0.250 0.000
Pt: 0.500 0.750 0.000
Na: 0.419 0.175 0.350
Na: 0.931 0.675 0.350
P: 0.165 0.907 0.814

Output
M_tot: 0.00 Bohr magnetons per cell

RbNaPPd2 | PBE | optimized geometry

a b c (Å): 4.699 4.699 5.359
angles (deg): 90.00 90.00 90.00
Fractional coordinates of all 5 atoms:
Na: 0.000 0.000 0.500
Pd: 0.000 0.500 0.000
Rb: 0.500 0.500 0.500
P: 0.000 0.000 0.000
Pd: 0.500 0.000 0.000

Output
M_tot: 0.00 Bohr magnetons per cell

| no. | energy relative to the elements (meV per atom) | total DFT energy (no corrections) (eV/atom) |
| --- | --- | --- |
| 1 | -221.4 | -4.9539 |
| 2 | -849.9 | -5.3958 |
| 3 | -667.7 | -5.4324 |
| 4 | -312.2 | -4.9433 |
| 5 | -418.9 | -4.5341 |
| 6 | -247.7 | -3.8641 |